Computed, not measured: an optimized crystal structure of Ce2Ga3Cu2 at the PBE-GGA level of DFT. Values from VASP.

Calculated values
density = 7.41 Mg/m³
formation energy = -0.42 eV per atom

Cell and atoms, written as Quantum ESPRESSO input:
```
&SYSTEM
  ibrav = 0, nat = 14, ntyp = 3
/
ATOMIC_SPECIES
Ce 140.12 Ce.upf
Ga 69.72 Ga.upf
Cu 63.55 Cu.upf
ATOMIC_POSITIONS angstrom
Ce 2.1703 8.2673 5.1624
Ce 2.1703 6.2613 1.7208
Ce 2.1703 -6.2613 5.1624
Ce 2.1703 -8.2673 1.7208
Ga 2.1703 5.1135 5.1624
Ga 2.1703 1.1486 3.9212
Ga 2.1703 1.1486 6.4036
Ga 2.1703 -1.1486 0.4796
Ga 2.1703 -1.1486 2.9620
Ga 2.1703 -5.1135 1.7208
Cu 2.1703 3.4643 0.4475
Cu 2.1703 3.4643 2.9941
Cu 2.1703 -3.4643 3.8891
Cu 2.1703 -3.4643 6.4356
CELL_PARAMETERS angstrom
2.1703 -9.2501 0.0000
2.1703 9.2501 0.0000
0.0000 0.0000 6.8832
```

Computed, not measured: an optimized crystal structure of Ce3Ga8Cu3 at the PBE-GGA level of DFT. Values from VASP.

Calculated values
density = 7.49 Mg/m³
formation energy = -0.43 eV per atom

Cell and atoms, written as Quantum ESPRESSO input:
```
&SYSTEM
  ibrav = 0, nat = 14, ntyp = 3
/
ATOMIC_SPECIES
Ce 140.12 Ce.upf
Ga 69.72 Ga.upf
Cu 63.55 Cu.upf
ATOMIC_POSITIONS angstrom
Ce 0.0000 0.0000 0.0000
Ce 0.0000 0.0000 3.7779
Ce 0.0000 0.0000 9.1800
Ga 2.2195 -1.2751 1.9314
Ga 2.2195 -1.8660 4.7421
Ga 2.2195 1.2751 1.9314
Ga 0.0000 2.6367 1.7368
Ga 2.2195 1.8660 4.7421
Ga 0.0000 3.2277 4.5475
Ga 0.0000 6.3688 1.7368
Ga 0.0000 5.7778 4.5475
Cu 2.2195 3.0019 0.0000
Cu 0.0000 4.5028 0.0000
Cu 0.0000 1.5009 6.4789
CELL_PARAMETERS angstrom
-2.2195 4.5028 6.4789
2.2195 -4.5028 6.4789
2.2195 4.5028 -6.4789
```

Computed, not measured: an optimized crystal structure of CeGaCu4 at the PBE-GGA level of DFT. Values from VASP.

Calculated values
density = 8.06 Mg/m³
formation energy = -0.24 eV per atom

Cell and atoms, written as Quantum ESPRESSO input:
```
&SYSTEM
  ibrav = 0, nat = 6, ntyp = 3
/
ATOMIC_SPECIES
Ce 140.12 Ce.upf
Ga 69.72 Ga.upf
Cu 63.55 Cu.upf
ATOMIC_POSITIONS angstrom
Ce 0.0000 0.0000 0.0000
Ga 2.5752 0.0000 2.0883
Cu 1.2876 2.2210 2.0883
Cu 2.5752 1.5166 0.0000
Cu 1.2876 -2.2210 2.0883
Cu 2.5752 -1.5166 0.0000
CELL_PARAMETERS angstrom
2.5752 -4.4421 0.0000
2.5752 4.4421 0.0000
0.0000 0.0000 4.1767
```

Computed, not measured: an optimized crystal structure of Ce3Ga3Cu8 at the PBE-GGA level of DFT. Values from VASP.

Calculated values
density = 7.93 Mg/m³
formation energy = -0.27 eV per atom

Cell and atoms, written as Quantum ESPRESSO input:
```
&SYSTEM
  ibrav = 0, nat = 14, ntyp = 3
/
ATOMIC_SPECIES
Ce 140.12 Ce.upf
Ga 69.72 Ga.upf
Cu 63.55 Cu.upf
ATOMIC_POSITIONS angstrom
Ce 0.0000 0.0000 0.0000
Ce 3.2002 0.0000 2.1634
Ce 7.2705 0.0000 5.0956
Ga -2.4283 0.0000 3.6295
Ga 1.7536 0.0000 5.0137
Ga 8.7171 0.0000 2.2453
Cu -2.1732 0.0000 6.1238
Cu 0.0038 0.0000 3.0021
Cu 0.3458 0.0000 7.1092
Cu 6.2023 0.0000 2.1810
Cu 4.2684 0.0000 5.0780
Cu 10.1248 0.0000 0.1499
Cu 10.4669 0.0000 4.2569
Cu 12.6438 0.0000 1.1352
CELL_PARAMETERS angstrom
7.6636 -2.1415 0.0000
7.6636 2.1415 0.0000
-4.8566 0.0000 7.2590
```

Computed, not measured: an optimized crystal structure of Ce3Ga5Cu6 at the PBE-GGA level of DFT. Values from VASP.

Calculated values
density = 7.81 Mg/m³
formation energy = -0.38 eV per atom

Cell and atoms, written as Quantum ESPRESSO input:
```
&SYSTEM
  ibrav = 0, nat = 14, ntyp = 3
/
ATOMIC_SPECIES
Ce 140.12 Ce.upf
Ga 69.72 Ga.upf
Cu 63.55 Cu.upf
ATOMIC_POSITIONS angstrom
Ce 0.0000 0.0000 0.0000
Ce 0.0000 0.0000 3.8745
Ce 0.0000 0.0000 9.0512
Ga 2.1932 -1.2633 2.0505
Ga 2.1932 1.2633 2.0505
Ga 0.0000 4.3135 0.0000
Ga 0.0000 3.0502 4.4123
Ga 0.0000 5.5769 4.4123
Cu 2.1932 -1.8692 4.7051
Cu 2.1932 2.7414 0.0000
Cu 0.0000 2.4444 1.7578
Cu 2.1932 1.8692 4.7051
Cu 0.0000 1.5722 6.4629
Cu 0.0000 6.1827 1.7578
CELL_PARAMETERS angstrom
-2.1932 4.3135 6.4629
2.1932 -4.3135 6.4629
2.1932 4.3135 -6.4629
```

Computed, not measured: an optimized crystal structure of Ce2Ga5Cu at the PBE-GGA level of DFT. Values from VASP.

Calculated values
density = 7.02 Mg/m³
formation energy = -0.39 eV per atom

Cell and atoms, written as Quantum ESPRESSO input:
```
&SYSTEM
  ibrav = 0, nat = 8, ntyp = 3
/
ATOMIC_SPECIES
Ce 140.12 Ce.upf
Ga 69.72 Ga.upf
Cu 63.55 Cu.upf
ATOMIC_POSITIONS angstrom
Ce 3.0173 0.0000 0.0000
Ce 0.0000 3.0173 0.0000
Ga 0.0000 0.0000 4.2339
Ga 1.6265 1.6265 2.2311
Ga 1.3908 -1.3908 6.7259
Ga -1.3908 1.3908 6.7259
Ga 1.3908 1.3908 6.7259
Cu 0.0000 0.0000 1.0680
CELL_PARAMETERS angstrom
-3.0173 3.0173 4.4948
3.0173 -3.0173 4.4948
3.0173 3.0173 -4.4948
```

Computed, not measured: an optimized crystal structure of Ce3GaCu at the PBE-GGA level of DFT. Values from VASP.

Calculated values
density = 8.01 Mg/m³
formation energy = -0.21 eV per atom

Cell and atoms, written as Quantum ESPRESSO input:
```
&SYSTEM
  ibrav = 0, nat = 10, ntyp = 3
/
ATOMIC_SPECIES
Ce 140.12 Ce.upf
Ga 69.72 Ga.upf
Cu 63.55 Cu.upf
ATOMIC_POSITIONS angstrom
Ce 0.8707 0.0000 1.2691
Ce 2.8195 0.0000 4.1089
Ce 6.7688 0.0000 3.8857
Ce 12.9048 0.0000 1.2783
Ce 16.8541 0.0000 1.0552
Ce 18.8029 0.0000 3.8949
Ga 8.8539 0.0000 1.5517
Ga 10.8196 0.0000 3.6123
Cu 4.6129 0.0000 1.8341
Cu 15.0606 0.0000 3.3300
CELL_PARAMETERS angstrom
10.2461 -2.1696 0.0000
10.2461 2.1696 0.0000
-0.8187 0.0000 5.1640
```

Computed, not measured: an optimized crystal structure of CeGaCu5 at the PBE-GGA level of DFT. Values from VASP.

Calculated values
density = 8.33 Mg/m³
formation energy = -0.23 eV per atom

Cell and atoms, written as Quantum ESPRESSO input:
```
&SYSTEM
  ibrav = 0, nat = 28, ntyp = 3
/
ATOMIC_SPECIES
Ce 140.12 Ce.upf
Ga 69.72 Ga.upf
Cu 63.55 Cu.upf
ATOMIC_POSITIONS angstrom
Ce 1.9500 1.2648 0.6051
Ce 2.1025 3.7944 5.7336
Ce 6.0026 1.2648 4.5234
Ce 6.1551 3.7944 9.6520
Ga 1.1696 3.7944 8.8054
Ga 2.8829 1.2648 3.6768
Ga 5.2222 3.7944 6.5802
Ga 6.9355 1.2648 1.4517
Cu 0.5454 0.0248 3.1566
Cu 0.5454 2.5048 3.1566
Cu 0.5697 3.7944 0.9781
Cu 0.7349 1.2648 5.2928
Cu 1.4452 1.2648 7.7351
Cu 2.6073 3.7944 2.6066
Cu 3.3176 3.7944 0.1643
Cu 3.4828 1.2648 6.1066
Cu 3.5071 2.5544 8.2851
Cu 3.5071 5.0344 8.2851
Cu 4.5980 0.0248 1.9720
Cu 4.5980 2.5048 1.9720
Cu 4.6223 3.7944 4.1504
Cu 4.7875 1.2648 10.0927
Cu 5.4978 1.2648 7.6505
Cu 6.6599 3.7944 2.5219
Cu 7.3702 3.7944 4.9642
Cu 7.5354 1.2648 9.2790
Cu 7.5597 2.5544 7.1005
Cu 7.5597 5.0344 7.1005
CELL_PARAMETERS angstrom
8.1051 0.0000 0.0000
0.0000 5.0592 0.0000
0.0000 0.0000 10.2570
```

Computed, not measured: an optimized crystal structure of CeGa2Cu3 at the PBE-GGA level of DFT. Values from VASP.

Calculated values
density = 7.94 Mg/m³
formation energy = -0.34 eV per atom

Cell and atoms, written as Quantum ESPRESSO input:
```
&SYSTEM
  ibrav = 0, nat = 6, ntyp = 3
/
ATOMIC_SPECIES
Ce 140.12 Ce.upf
Ga 69.72 Ga.upf
Cu 63.55 Cu.upf
ATOMIC_POSITIONS angstrom
Ce 0.0000 0.0000 0.0000
Ga 1.3289 2.2034 2.0996
Ga 1.3289 -2.2034 2.0996
Cu 2.6577 1.4070 0.0000
Cu 2.6577 0.0000 2.0996
Cu 2.6577 -1.4070 0.0000
CELL_PARAMETERS angstrom
2.6577 -4.4069 0.0000
2.6577 4.4069 0.0000
0.0000 0.0000 4.1992
```

Computed, not measured: an optimized crystal structure of CeGaCu at the PBE-GGA level of DFT. Values from VASP.

Calculated values
density = 6.99 Mg/m³
formation energy = -0.32 eV per atom

Cell and atoms, written as Quantum ESPRESSO input:
```
&SYSTEM
  ibrav = 0, nat = 3, ntyp = 3
/
ATOMIC_SPECIES
Ce 140.12 Ce.upf
Ga 69.72 Ga.upf
Cu 63.55 Cu.upf
ATOMIC_POSITIONS angstrom
Ce 0.0000 0.0000 0.0000
Ga 3.1902 3.1902 3.1902
Cu 1.5951 1.5951 1.5951
CELL_PARAMETERS angstrom
0.0000 3.1902 3.1902
3.1902 0.0000 3.1902
3.1902 3.1902 0.0000
```

Computed, not measured: an optimized crystal structure of CeGa2Cu at the PBE-GGA level of DFT. Values from VASP.

Calculated values
density = 7.19 Mg/m³
formation energy = -0.42 eV per atom

Cell and atoms, written as Quantum ESPRESSO input:
```
&SYSTEM
  ibrav = 0, nat = 4, ntyp = 3
/
ATOMIC_SPECIES
Ce 140.12 Ce.upf
Ga 69.72 Ga.upf
Cu 63.55 Cu.upf
ATOMIC_POSITIONS angstrom
Ce 0.0000 0.0000 0.0000
Ga 0.0000 0.0000 3.3648
Ga 0.0000 0.0000 12.3573
Cu 0.0000 0.0000 7.8611
CELL_PARAMETERS angstrom
2.0887 1.2059 5.2407
-2.0887 1.2059 5.2407
0.0000 -2.4118 5.2407
```

Computed, not measured: an optimized crystal structure of CeGaCu11 at the PBE-GGA level of DFT. Values from VASP.

Calculated values
density = 8.41 Mg/m³
formation energy = -0.08 eV per atom

Cell and atoms, written as Quantum ESPRESSO input:
```
&SYSTEM
  ibrav = 0, nat = 13, ntyp = 3
/
ATOMIC_SPECIES
Ce 140.12 Ce.upf
Ga 69.72 Ga.upf
Cu 63.55 Cu.upf
ATOMIC_POSITIONS angstrom
Ce 0.0000 0.0000 0.0000
Ga 1.2627 0.0000 3.0870
Cu -1.1715 0.0000 3.0870
Cu 1.2171 2.9863 0.0000
Cu 0.1220 3.8179 4.0020
Cu 0.0853 1.3412 4.8055
Cu 2.4035 3.8179 2.1720
Cu 2.4402 1.3412 1.3686
Cu 1.2171 -2.9863 0.0000
Cu 0.0853 -1.3412 4.8055
Cu 0.1220 -3.8179 4.0020
Cu 2.4402 -1.3412 1.3686
Cu 2.4035 -3.8179 2.1720
CELL_PARAMETERS angstrom
2.4342 -5.9727 0.0000
2.4342 5.9727 0.0000
-2.3429 0.0000 6.1740
```